# 1
First-principles (PBE) data for a geometry-optimized HPd3Pt structure, as listed in Alexandria.

energy relative to the lowest polymorph listed for this composition: 114.2 meV/atom
calculated density: 13.04 Mg/m³
E_tot: -4.916 eV/atom
SG: R-3c (167)
Fermi-level density of states: 4.99 states/eV/f.u.

Structure (POSCAR):
```
HPd3Pt
1.0
-0.062 -2.773 4.270
0.840 -4.040 -2.983
4.951 1.111 0.421
Pd H Pt
6 2 2
direct
0.750 0.013 0.487
0.250 0.987 0.513
0.987 0.513 0.250
0.013 0.487 0.750
0.487 0.750 0.013
0.513 0.250 0.987
0.750 0.750 0.750
0.250 0.250 0.250
0.500 0.500 0.500
0.000 0.000 0.000
```



# 2
First-principles (PBE) data for a geometry-optimized CsK2Cd2 structure, as listed in Alexandria.

energy relative to the lowest polymorph listed for this composition: 0.0 meV/atom
calculated density: 2.72 Mg/m³
ΔH_f (0 K): -4.2 kJ per mole of atoms
E_tot: -1.019 eV/atom
SG: C2/m (12)
Fermi-level density of states: 3.00 states/eV/f.u.

Structure (POSCAR):
```
CsK2Cd2
1.0
-2.785 -3.060 3.343
-3.639 -2.634 -5.442
7.038 -3.010 -1.125
Cs Cd K
1 2 2
direct
0.000 0.000 0.000
0.266 0.918 0.532
0.734 0.082 0.468
0.652 0.562 0.305
0.348 0.438 0.695
```



# 3
First-principles (PBE) data for a geometry-optimized Mg5CdAu structure, as listed in Alexandria.

energy relative to the lowest polymorph listed for this composition: 0.0 meV/atom
calculated density: 4.67 Mg/m³
ΔH_f (0 K): -23.8 kJ per mole of atoms
E_tot: -1.985 eV/atom
SG: P4/mmm (123)
Fermi-level density of states: 2.44 states/eV/f.u.

Structure (POSCAR):
```
Mg5CdAu
1.0
-1.814 -4.162 1.055
3.828 -1.049 2.444
-2.940 2.748 5.785
Mg Cd Au
5 1 1
direct
0.500 0.000 0.786
0.000 0.500 0.786
0.500 0.500 0.500
0.500 0.000 0.214
0.000 0.500 0.214
0.000 0.000 0.500
0.500 0.500 0.000
```



# 4
First-principles (PBE) data for a geometry-optimized BaZn2Co2 structure, as listed in Alexandria.

energy relative to the lowest polymorph listed for this composition: 131.3 meV/atom
calculated density: 7.57 Mg/m³
ΔH_f (0 K): 32.2 kJ per mole of atoms
E_tot: -3.403 eV/atom
SG: P4/mbm (127)
Fermi-level density of states: 9.79 states/eV/f.u.

Structure (POSCAR):
```
BaZn2Co2
1.0
7.550 0.000 0.000
0.000 7.550 0.000
0.000 0.000 2.971
Ba Co Zn
2 4 4
direct
0.000 0.000 0.000
0.500 0.500 0.000
0.352 0.852 0.000
0.148 0.352 0.000
0.648 0.148 0.000
0.852 0.648 0.000
0.132 0.632 0.500
0.368 0.132 0.500
0.632 0.868 0.500
0.868 0.368 0.500
```



# 5
First-principles (PBE) data for a geometry-optimized Dy2HfZr structure, as listed in Alexandria.

energy relative to the lowest polymorph listed for this composition: 185.4 meV/atom
calculated density: 9.23 Mg/m³
ΔH_f (0 K): 32.0 kJ per mole of atoms
E_tot: -6.594 eV/atom
SG: R-3m (166)
Fermi-level density of states: 3.88 states/eV/f.u.

Structure (POSCAR):
```
Dy2HfZr
1.0
-0.517 3.213 0.300
-2.678 1.352 -1.296
-6.782 -0.320 9.562
Hf Zr Dy
1 1 2
direct
0.000 0.000 0.000
0.500 0.500 0.500
0.910 0.910 0.270
0.090 0.090 0.730
```



# 6
First-principles (PBE) data for a geometry-optimized Pm2NdCu6 structure, as listed in Alexandria.

energy relative to the lowest polymorph listed for this composition: 147.2 meV/atom
calculated density: 7.42 Mg/m³
ΔH_f (0 K): -7.5 kJ per mole of atoms
E_tot: -4.394 eV/atom
SG: Immm (71)
Fermi-level density of states: 6.45 states/eV/f.u.

Structure (POSCAR):
```
Pm2NdCu6
1.0
3.725 0.000 0.000
1.862 7.591 1.134
1.862 3.266 6.946
Pm Cu Nd
2 6 1
direct
0.642 0.858 0.858
0.358 0.142 0.142
0.168 0.154 0.509
0.000 0.176 0.824
0.168 0.509 0.154
0.832 0.491 0.846
0.832 0.846 0.491
0.000 0.824 0.176
0.500 0.500 0.500
```